# Pd2S3

A relaxed Pd2S3 crystal (GGA-PBE, OQMD).

abc: 6.9979 6.9979 5.7582
angles: 90.00 90.00 129.76
Closest atoms and distances in Å follow each position.
Positions (direct):
Pd 0.0000 0.5000 0.0000  4 S 2.35-2.43
Pd 0.0000 0.5000 0.5000  4 S 2.35-2.43
Pd 0.5000 0.0000 0.0000  4 S 2.35-2.43
Pd 0.5000 0.0000 0.5000  4 S 2.35-2.43
S 0.1495 0.8505 0.7500  4 Pd 2.43
S 0.2168 0.4324 0.7500  1 S 2.08
S 0.4324 0.2168 0.2500  1 S 2.08
S 0.5676 0.7832 0.7500  1 S 2.08
S 0.7832 0.5676 0.2500  1 S 2.08
S 0.8505 0.1495 0.2500  4 Pd 2.43

## Properties
Its calculated total energy is -4.82 eV/atom.